1.
Material: CrBi2PtN
Method: DFT, PBE
State: optimized geometry

The space group is P4/mmm (123). The density of states at the Fermi level comes out at 0.693 states/eV per atom. The formation energy from raw total energies is 31.7 kJ/mol of atoms. As for the total energy: -6.021 eV per atom. The total moment comes out at 0.2211 μB per atom.

abc: 5.359 3.513 5.359
angles: 90.00 90.00 90.00
Sites, in units of the cell vectors:
Cr (0.000, 0.000, 0.000)
Pt (0.500, 0.500, 0.500)
N (0.000, 0.500, 0.000)
Bi (0.500, 0.000, 0.000)
Bi (0.000, 0.000, 0.500)


2.
Material: CrBiS2N
Method: DFT, PBE
State: optimized geometry

The space group is P4/mmm (123). The value obtained for the excess energy over the best structure of this formula in the dataset is 0.00 kJ per mole of atoms. The density of states at the Fermi level comes out at 0.552 states/eV per atom. The formation energy from raw total energies is -1.7 kJ/mol of atoms. As for the total energy: -6.034 eV per atom. The total moment comes out at 0.3151 μB per atom.

abc: 4.884 4.884 3.612
angles: 90.00 90.00 90.00
Sites, in units of the cell vectors:
Bi (0.500, 0.500, 0.500)
S (0.000, 0.500, 0.000)
S (0.500, 0.000, 0.000)
N (0.000, 0.000, 0.500)
Cr (0.000, 0.000, 0.000)


3.
Material: CrBiS2N
Method: DFT, PBE
State: optimized geometry

The space group is P4/mmm (123). The value obtained for the excess energy over the best structure of this formula in the dataset is 115.94 kJ per mole of atoms. The density of states at the Fermi level comes out at 1.136 states/eV per atom. The formation energy from raw total energies is 114.3 kJ/mol of atoms. As for the total energy: -4.833 eV per atom. The total moment comes out at 0.6112 μB per atom.

abc: 5.249 5.249 4.311
angles: 90.00 90.00 90.00
Sites, in units of the cell vectors:
S (0.000, 0.500, 0.000)
S (0.500, 0.000, 0.000)
Bi (0.000, 0.000, 0.000)
N (0.000, 0.000, 0.500)
Cr (0.500, 0.500, 0.500)


4.
Material: Cr2BiSbN
Method: DFT, PBE
State: optimized geometry

The space group is P4/mmm (123). The density of states at the Fermi level comes out at 1.674 states/eV per atom. The formation energy from raw total energies is 252.0 kJ/mol of atoms. As for the total energy: -4.504 eV per atom. The total moment comes out at 0.2204 μB per atom.

abc: 4.899 5.889 4.899
angles: 90.00 90.00 90.00
Sites, in units of the cell vectors:
Sb (0.000, 0.000, 0.000)
N (0.500, 0.500, 0.500)
Cr (0.500, 0.000, 0.000)
Cr (0.000, 0.000, 0.500)
Bi (0.000, 0.500, 0.000)


5.
Material: CrBiSeN2
Method: DFT, PBE
State: optimized geometry

The space group is P4/mmm (123). The value obtained for the excess energy over the best structure of this formula in the dataset is 0.00 kJ per mole of atoms. The density of states at the Fermi level comes out at 0.797 states/eV per atom. The formation energy from raw total energies is 58.9 kJ/mol of atoms. As for the total energy: -6.117 eV per atom. The total moment comes out at 0.0001 μB per atom.

abc: 3.909 3.909 5.019
angles: 90.00 90.00 90.00
Sites, in units of the cell vectors:
N (0.500, 0.000, 0.000)
N (0.000, 0.500, 0.000)
Bi (0.500, 0.500, 0.500)
Se (0.000, 0.000, 0.500)
Cr (0.000, 0.000, 0.000)


6.
Material: CrBiSeN2
Method: DFT, PBE
State: optimized geometry

The space group is P4/mmm (123). The value obtained for the excess energy over the best structure of this formula in the dataset is 144.66 kJ per mole of atoms. The density of states at the Fermi level comes out at 1.912 states/eV per atom. The formation energy from raw total energies is 203.6 kJ/mol of atoms. As for the total energy: -4.618 eV per atom. The total moment comes out at 0.2534 μB per atom.

abc: 4.227 4.227 5.714
angles: 90.00 90.00 90.00
Sites, in units of the cell vectors:
Bi (0.000, 0.000, 0.000)
Cr (0.500, 0.500, 0.500)
Se (0.000, 0.000, 0.500)
N (0.500, 0.000, 0.000)
N (0.000, 0.500, 0.000)


7.
Material: CrBiTeN2
Method: DFT, PBE
State: optimized geometry

The space group is P4/mmm (123). The value obtained for the excess energy over the best structure of this formula in the dataset is 0.00 kJ per mole of atoms. The density of states at the Fermi level comes out at 0.198 states/eV per atom. The formation energy from raw total energies is 81.7 kJ/mol of atoms. As for the total energy: -5.812 eV per atom. The total moment comes out at 0.1645 μB per atom.

abc: 4.078 4.078 5.497
angles: 90.00 90.00 90.00
Sites, in units of the cell vectors:
N (0.500, 0.000, 0.000)
N (0.000, 0.500, 0.000)
Te (0.000, 0.000, 0.500)
Bi (0.500, 0.500, 0.500)
Cr (0.000, 0.000, 0.000)


8.
Material: CrBiTeN2
Method: DFT, PBE
State: optimized geometry

The space group is P4/mmm (123). The value obtained for the excess energy over the best structure of this formula in the dataset is 76.35 kJ per mole of atoms. The density of states at the Fermi level comes out at 1.184 states/eV per atom. The formation energy from raw total energies is 158.1 kJ/mol of atoms. As for the total energy: -5.021 eV per atom. The total moment comes out at 1.2110 μB per atom.

abc: 4.285 4.285 6.613
angles: 90.00 90.00 90.00
Sites, in units of the cell vectors:
Te (0.000, 0.000, 0.500)
Cr (0.500, 0.500, 0.500)
Bi (0.000, 0.000, 0.000)
N (0.000, 0.500, 0.000)
N (0.500, 0.000, 0.000)


Question: Which value of formation energy from raw total energies does entry 4 give?
Answer: 252.0 kJ/mol of atoms


Copy entry 1 word for word.
Material: CrBi2PtN
Method: DFT, PBE
State: optimized geometry

The space group is P4/mmm (123). The density of states at the Fermi level comes out at 0.693 states/eV per atom. The formation energy from raw total energies is 31.7 kJ/mol of atoms. As for the total energy: -6.021 eV per atom. The total moment comes out at 0.2211 μB per atom.

abc: 5.359 3.513 5.359
angles: 90.00 90.00 90.00
Sites, in units of the cell vectors:
Cr (0.000, 0.000, 0.000)
Pt (0.500, 0.500, 0.500)
N (0.000, 0.500, 0.000)
Bi (0.500, 0.000, 0.000)
Bi (0.000, 0.000, 0.500)


Question: The lowest total energy belongs to which entry?
Answer: number 5